[1]
VASP calculation (PBE-GGA) on NdDySb2Te2 after structural relaxation.

Its total magnetization is 0.00 Bohr magnetons per cell. Its density is 7.64 Mg/m³. For the energy, the calculation gives -30.69 eV/cell.

It has space group P4mm (No. 99), with a = 4.318 Å, b = 4.318 Å, c = 9.384 Å, α = 90.00°, β = 90.00° and γ = 90.00°. Symmetry generates all atoms from Nd at (0.000, 0.000, 0.000), Dy at (0.500, 0.500, 0.451), Sb at (0.000, 0.500, 0.722), Te at (0.000, 0.000, 0.355) and Te at (0.500, 0.500, 0.107).

---

[2]
VASP calculation (PBE-GGA) on LiHfAgS3 after structural relaxation.

Its total magnetization is 0.02 Bohr magnetons per cell. For the energy relative to the lowest polymorph listed for this composition, the calculation gives 0.37 eV/f.u. Its density is 5.26 Mg/m³. For the energy, the calculation gives -133.34 eV/cell.

It has space group Cmcm (No. 63), with a = 3.707 Å, b = 13.171 Å, c = 10.067 Å, α = 90.00°, β = 90.00° and γ = 90.00°. Symmetry generates all atoms from Li at (0.000, 0.167, 0.250), Hf at (0.000, 0.500, 0.000), Ag at (0.000, 0.117, 0.750), S at (0.000, 0.135, 0.512) and S at (0.000, 0.454, 0.750).

---

[3]
VASP calculation (PBE-GGA) on ZrSc3Cu2 after structural relaxation.

Its total magnetization is 1.53 Bohr magnetons per cell. For the formation energy, the calculation gives -0.1329 eV per atom. Its density is 5.00 Mg/m³. For the energy, the calculation gives -35.76 eV/cell.

It has space group P4mm (No. 99), with a = 3.225 Å, b = 3.225 Å, c = 11.281 Å, α = 90.00°, β = 90.00° and γ = 90.00°. Symmetry generates all atoms from Zr at (0.000, 0.000, 0.000), Sc at (0.000, 0.000, 0.700), Sc at (0.500, 0.500, 0.196), Sc at (0.500, 0.500, 0.493), Cu at (0.000, 0.000, 0.348) and Cu at (0.500, 0.500, 0.845).

---

[4]
VASP calculation (PBE-GGA) on LaGdSi2Ni2 after structural relaxation.

Its total magnetization is 0.02 Bohr magnetons per cell. Its density is 6.83 Mg/m³. For the energy, the calculation gives -35.99 eV/cell.

It has space group P4mm (No. 99), with a = 4.112 Å, b = 4.112 Å, c = 6.757 Å, α = 90.00°, β = 90.00° and γ = 90.00°. Symmetry generates all atoms from La at (0.000, 0.000, 0.000), Gd at (0.500, 0.500, 0.629), Si at (0.000, 0.000, 0.513), Si at (0.500, 0.500, 0.153) and Ni at (0.000, 0.500, 0.328).